[1]
An optimized crystal structure of Y3SiS2, computed with PBE-GGA.

a b c (Å): 6.933 6.933 6.933
angles (deg): 146.39 131.96 59.90
Atoms (fractional coordinates):
Y  0.000  0.000  0.000
Y  0.335  0.335  0.000
Y  0.665  0.665  0.000
Si  0.500  0.000  0.500
S  0.167  0.667  0.500
S  0.833  0.333  0.500

Values from the calculation:
- DFT total energy: -7.170 eV/atom
- ΔE_f (raw): -9.95 eV per formula unit

=====

[2]
An optimized crystal structure of Al2SiNi, computed with PBE-GGA.

a b c (Å): 8.469 8.469 8.469
angles (deg): 18.97 18.97 18.97
Atoms (fractional coordinates):
Al  0.000  0.000  0.000
Al  0.241  0.241  0.241
Si  0.481  0.481  0.481
Ni  0.745  0.745  0.745

Values from the calculation:
- DFT total energy: -4.818 eV/atom
- Distance to the lowest polymorph of the same formula: 0.168 eV per atom
- ΔE_f (raw): -0.58 eV per formula unit

=====

[3]
An optimized crystal structure of Ho4Tl2HgAu, computed with PBE-GGA.

a b c (Å): 9.089 9.089 9.089
angles (deg): 33.65 33.65 33.65
Atoms (fractional coordinates):
Ho  0.121  0.121  0.121
Ho  0.372  0.372  0.372
Ho  0.628  0.628  0.628
Ho  0.879  0.879  0.879
Tl  0.247  0.247  0.247
Tl  0.753  0.753  0.753
Hg  0.500  0.500  0.500
Au  0.000  0.000  0.000

Values from the calculation:
- DFT total energy: -3.812 eV/atom
- Formation enthalpy at 0 K: -0.484 eV/atom

=====

[4]
An optimized crystal structure of Ta3Os, computed with PBE-GGA.

a b c (Å): 4.863 5.394 5.300
angles (deg): 90.00 90.00 90.00
Atoms (fractional coordinates):
Ta  0.250  0.003  0.141
Ta  0.250  0.497  0.141
Ta  0.250  0.750  0.619
Ta  0.750  0.250  0.381
Ta  0.750  0.503  0.859
Ta  0.750  0.997  0.859
Os  0.250  0.250  0.656
Os  0.750  0.750  0.344

Values from the calculation:
- DFT total energy: -11.692 eV/atom
- Formation enthalpy at 0 K: 0.005 eV/atom

=====

[5]
An optimized crystal structure of MnGa2HgI8, computed with PBE-GGA.

a b c (Å): 7.300 7.300 11.167
angles (deg): 101.33 101.33 67.83
Atoms (fractional coordinates):
Mn  0.000  0.000  0.000
Ga  0.316  0.316  0.805
Ga  0.684  0.684  0.195
Hg  0.500  0.500  0.500
I  0.165  0.165  0.605
I  0.196  0.707  0.803
I  0.242  0.242  0.006
I  0.293  0.804  0.197
I  0.707  0.196  0.803
I  0.758  0.758  0.994
I  0.804  0.293  0.197
I  0.835  0.835  0.395

Values from the calculation:
- DFT total energy: -2.716 eV/atom
- ΔE_f (raw): -4.67 eV per formula unit

=====

Q: The highest DFT total energy belongs to which entry?
A: MnGa2HgI8

=====

Q: Among the records above, which one has the highest DFT total energy?
A: MnGa2HgI8

=====

Q: The highest DFT total energy belongs to which entry?
A: MnGa2HgI8

=====

Q: Which of these has the highest DFT total energy?
A: MnGa2HgI8